VASP calculation (PBE-GGA) on an optimized crystal structure of Ac6Ir2CCl3.

Crystal system: monoclinic
Total magnetic moment in μB/cell: 0.000
Energy relative to the elements, uncorrected in meV/atom: -1088

a = 4.255 Å, b = 9.235 Å, c = 10.341 Å
α = 109.23°, β = 101.87°, γ = 90.00°
Positions (direct):
Ir  0.164  0.329  0.327
Ir  0.836  0.671  0.673
Ac  0.010  0.217  0.021
Ac  0.321  0.440  0.643
Ac  0.645  0.098  0.289
Ac  0.355  0.902  0.711
Ac  0.679  0.560  0.357
Ac  0.990  0.783  0.979
C  0.500  0.000  0.000
Cl  0.500  0.500  0.000
Cl  0.842  0.168  0.684
Cl  0.158  0.832  0.316

=====

VASP calculation (PBE-GGA) on an optimized crystal structure of Ac4IrCCl2.

Crystal system: monoclinic
Total magnetic moment in μB/cell: 0.000
Energy relative to the elements, uncorrected in meV/atom: -973

a = 4.159 Å, b = 7.431 Å, c = 8.100 Å
α = 106.93°, β = 90.00°, γ = 90.00°
Positions (direct):
Ac  0.500  0.751  0.801
Ac  0.000  0.719  0.196
Ac  0.500  0.249  0.199
Ac  0.000  0.281  0.804
C  0.500  0.500  0.000
Ir  0.000  0.000  0.000
Cl  0.000  0.500  0.500
Cl  0.500  0.000  0.500

=====

Please write out number 2 again, unchanged.
VASP calculation (PBE-GGA) on an optimized crystal structure of Ac4IrCCl2.

Crystal system: monoclinic
Total magnetic moment in μB/cell: 0.000
Energy relative to the elements, uncorrected in meV/atom: -973

a = 4.159 Å, b = 7.431 Å, c = 8.100 Å
α = 106.93°, β = 90.00°, γ = 90.00°
Positions (direct):
Ac  0.500  0.751  0.801
Ac  0.000  0.719  0.196
Ac  0.500  0.249  0.199
Ac  0.000  0.281  0.804
C  0.500  0.500  0.000
Ir  0.000  0.000  0.000
Cl  0.000  0.500  0.500
Cl  0.500  0.000  0.500

=====

Repeat the first record exactly.
VASP calculation (PBE-GGA) on an optimized crystal structure of Ac6Ir2CCl3.

Crystal system: monoclinic
Total magnetic moment in μB/cell: 0.000
Energy relative to the elements, uncorrected in meV/atom: -1088

a = 4.255 Å, b = 9.235 Å, c = 10.341 Å
α = 109.23°, β = 101.87°, γ = 90.00°
Positions (direct):
Ir  0.164  0.329  0.327
Ir  0.836  0.671  0.673
Ac  0.010  0.217  0.021
Ac  0.321  0.440  0.643
Ac  0.645  0.098  0.289
Ac  0.355  0.902  0.711
Ac  0.679  0.560  0.357
Ac  0.990  0.783  0.979
C  0.500  0.000  0.000
Cl  0.500  0.500  0.000
Cl  0.842  0.168  0.684
Cl  0.158  0.832  0.316

=====

Q: What is the formula in the first record?
A: Ac6Ir2CCl3

=====

Q: Look up the energy relative to the elements, uncorrected of the first one.
A: -1088 meV/atom